A relaxed structure of TaCr2Tc. Source: Alexandria, functional PBE.

Cell: 6.066 6.066 6.066 Å, 90.00 90.00 90.00°
Space group Fm-3m (No. 225)
Inequivalent atoms, fractional coordinates:
Ta 0.000 0.000 0.000 (multiplicity 4)
Cr 0.250 0.250 0.250 (multiplicity 8)
Tc 0.000 0.000 0.500 (multiplicity 4)

Calculated values
Fermi-level density of states: 0.359 states/eV per atom
ΔE_f: -0.1 eV per formula unit
E: -10.39 eV per atom